Entry 1:
Material: Ba6PuO8
Method: DFT, GGA-PBE
State: relaxed

Calculated values
* raw formation energy: -2.626 eV/atom
* space group: Fm-3m, No. 225
* VASP energy: -6.995 eV per atom
* M_tot: 4.0 μB/cell
* calculated volume: 22.23 Å³/atom

Cell and atoms, written as POSCAR:
```
Ba6PuO8
1.0
0.000 5.504 5.504
5.504 0.000 5.504
5.504 5.504 0.000
Ba Pu O
6 1 8
Cartesian
2.752 2.752 0.000
2.752 0.000 2.752
5.504 2.752 2.752
0.000 2.752 2.752
2.752 5.504 2.752
2.752 2.752 5.504
0.000 0.000 0.000
5.504 5.504 2.271
5.504 2.271 5.504
8.737 5.504 5.504
2.752 2.752 2.752
8.256 8.256 8.256
2.271 5.504 5.504
5.504 8.737 5.504
5.504 5.504 8.737
```

Entry 2:
Material: BaPu2O6
Method: DFT, GGA-PBE
State: relaxed

Calculated values
* raw formation energy: -2.881 eV/atom
* space group: P-31m, No. 162
* VASP energy: -9.585 eV per atom
* M_tot: 6.0 μB/cell
* calculated volume: 18.31 Å³/atom

Cell and atoms, written as POSCAR:
```
BaPu2O6
1.0
5.874 0.000 0.000
-2.937 5.087 0.000
0.000 0.000 5.516
Ba Pu O
1 2 6
Cartesian
0.000 0.000 0.000
0.000 3.391 2.758
2.937 1.696 2.758
-1.111 1.925 3.858
-1.826 3.162 1.658
2.223 0.000 3.858
1.111 1.925 1.658
3.651 0.000 1.658
1.826 3.162 3.858
```

Entry 3:
Material: BaPu2O8
Method: DFT, GGA-PBE
State: relaxed

Calculated values
* raw formation energy: -2.329 eV/atom
* space group: C2/m, No. 12
* VASP energy: -8.715 eV per atom
* M_tot: 2.0 μB/cell
* relative energy among the computed polymorphs: 0 meV per atom
* calculated volume: 16.50 Å³/atom

Cell and atoms, written as POSCAR:
```
BaPu2O8
1.0
6.165 -2.111 0.000
6.165 2.111 0.000
-5.895 0.000 6.973
Ba Pu O
1 2 8
Cartesian
0.000 0.000 0.000
-1.743 0.000 4.665
8.178 0.000 2.308
-3.694 0.000 4.528
1.952 0.000 2.194
-1.576 0.000 6.593
0.106 0.000 4.651
6.329 0.000 2.322
8.011 0.000 0.381
4.484 0.000 4.779
10.129 0.000 2.445
```

Entry 4:
Material: Ba5Pu2O12
Method: DFT, GGA-PBE
State: relaxed

Calculated values
* raw formation energy: -2.639 eV/atom
* space group: P-1, No. 2
* VASP energy: -7.785 eV per atom
* M_tot: 2.0 μB/cell
* calculated volume: 19.97 Å³/atom

Cell and atoms, written as POSCAR:
```
Ba5Pu2O12
1.0
6.149 0.000 0.000
-1.629 6.722 0.000
-0.251 -0.864 9.179
Ba Pu O
5 2 12
Cartesian
0.000 0.000 0.000
0.906 1.097 4.496
0.859 4.412 1.973
3.411 1.446 7.206
3.364 4.761 4.683
0.435 4.586 6.688
3.835 1.272 2.491
-0.612 2.285 2.715
1.072 -0.330 6.955
0.253 4.195 8.643
0.394 5.019 4.722
2.088 0.292 2.200
1.574 2.945 6.224
2.695 2.913 2.954
2.181 5.566 6.979
3.876 0.839 4.457
4.017 1.664 0.535
3.197 6.188 2.224
4.881 3.573 6.464
```

Entry 5:
Material: Ba2PuO
Method: DFT, GGA-PBE
State: relaxed

Calculated values
* raw formation energy: -0.778 eV/atom
* space group: R-3m, No. 166
* VASP energy: -6.562 eV per atom
* M_tot: 6.7 μB/cell
* calculated volume: 34.06 Å³/atom

Cell and atoms, written as POSCAR:
```
Ba2PuO
1.0
1.910 1.102 10.786
-1.910 1.102 10.786
0.000 -2.205 10.786
Ba Pu O
2 1 1
Cartesian
0.000 0.000 3.801
0.000 0.000 28.556
0.000 0.000 0.000
0.000 0.000 16.178
```

Entry 6:
Material: Ba3PuO8
Method: DFT, GGA-PBE
State: relaxed

Calculated values
* raw formation energy: -2.216 eV/atom
* space group: I-42m, No. 121
* VASP energy: -7.196 eV per atom
* M_tot: 2.0 μB/cell
* calculated volume: 17.57 Å³/atom

Cell and atoms, written as POSCAR:
```
Ba3PuO8
1.0
-3.262 3.262 4.955
3.262 -3.262 4.955
3.262 3.262 -4.955
Ba Pu O
3 1 8
Cartesian
0.000 0.000 0.000
3.262 0.000 2.477
0.000 3.262 2.477
0.000 0.000 4.955
0.526 -0.526 2.590
1.849 1.849 -0.168
1.413 -1.413 5.123
-0.526 0.526 2.590
2.736 2.736 2.365
1.413 1.413 4.787
-1.413 1.413 5.123
0.526 0.526 7.319
```

Entry 7:
Material: BaPu2O7
Method: DFT, GGA-PBE
State: relaxed

Calculated values
* raw formation energy: -2.573 eV/atom
* space group: Cmmm, No. 65
* VASP energy: -9.103 eV per atom
* M_tot: 4.0 μB/cell
* calculated volume: 15.75 Å³/atom

Cell and atoms, written as POSCAR:
```
BaPu2O7
1.0
3.232 -5.875 0.000
3.232 5.875 0.000
0.000 0.000 4.146
Ba Pu O
1 2 7
Cartesian
0.000 0.000 0.000
3.232 2.060 2.073
3.232 -2.060 2.073
1.249 1.725 2.073
3.232 2.120 0.000
1.249 -1.725 2.073
3.232 0.000 2.073
5.216 1.725 2.073
3.232 -2.120 0.000
5.216 -1.725 2.073
```

Entry 8:
Material: BaPu4O8
Method: DFT, GGA-PBE
State: relaxed

Calculated values
* raw formation energy: -2.905 eV/atom
* space group: R-3m, No. 166
* VASP energy: -10.514 eV per atom
* M_tot: 18.0 μB/cell
* calculated volume: 21.14 Å³/atom

Cell and atoms, written as POSCAR:
```
BaPu4O8
1.0
3.520 2.032 6.402
-3.520 2.032 6.402
0.000 -4.064 6.402
Ba Pu O
1 4 8
Cartesian
0.000 0.000 0.000
-3.520 0.000 9.603
-1.760 1.016 3.201
1.760 1.016 3.201
0.000 0.000 9.603
-1.816 -1.048 10.698
0.000 0.000 4.180
0.000 -2.097 8.508
-1.816 1.048 8.508
1.816 -1.048 10.698
0.000 2.097 10.698
0.000 0.000 15.026
1.816 1.048 8.508
```